# 1
The following is a PBE calculation of an optimized crystal structure of ReTc2Rh, from Alexandria.

Cell lengths 2.722, 3.907, 5.488 Å; angles 90.00, 90.00, 90.00 degrees
Sites, in units of the cell vectors:
Re (0.000, 0.000, 0.000)
Tc (0.000, 0.000, 0.521)
Tc (0.500, 0.500, 0.754)
Rh (0.500, 0.500, 0.257)

Calculated values
**Calculated total energy**: -10.14 eV per atom
**Calculated volume**: 58 Å³/cell
**E_form**: -0.04 eV per formula unit



# 2
The following is a PBE calculation of an optimized crystal structure of ReTc2Rh4, from Alexandria.

Cell lengths 8.822, 8.822, 2.731 Å; angles 90.00, 90.00, 151.45 degrees
Sites, in units of the cell vectors:
Re (0.000, 0.000, 0.000)
Tc (0.429, 0.571, 0.500)
Tc (0.571, 0.429, 0.500)
Rh (0.148, 0.852, 0.500)
Rh (0.295, 0.705, 0.000)
Rh (0.705, 0.295, 0.000)
Rh (0.852, 0.148, 0.500)

Calculated values
**Calculated total energy**: -8.95 eV per atom
**Calculated volume**: 102 Å³/cell
**E_form**: -0.04 eV per formula unit



# 3
The following is a PBE calculation of an optimized crystal structure of ReTc3Rh, from Alexandria.

Cell lengths 4.756, 5.483, 6.131 Å; angles 77.07, 74.97, 73.25 degrees
Sites, in units of the cell vectors:
Re (0.201, 0.052, 0.097)
Re (0.799, 0.948, 0.903)
Tc (0.002, 0.248, 0.497)
Tc (0.198, 0.550, 0.101)
Tc (0.398, 0.850, 0.700)
Tc (0.602, 0.150, 0.300)
Tc (0.802, 0.450, 0.899)
Tc (0.998, 0.752, 0.503)
Rh (0.400, 0.347, 0.702)
Rh (0.600, 0.653, 0.298)

Calculated values
**Calculated total energy**: -10.17 eV per atom
**Calculated volume**: 146 Å³/cell
**E_form**: 0.04 eV per formula unit